## AcLa12Al4O3 (PBE)

Data for an optimized crystal structure of AcLa12Al4O3.

Results
E_form (uncorrected): -0.70 eV/atom

Lattice parameters (Å, degrees): 9.025 9.025 9.025 109.47 109.47 109.47
Fractional positions:
La (0.500, 0.750, 0.250)
Al (0.000, 0.000, 0.500)
La (0.277, 0.277, 0.000)
Ac (0.000, 0.000, 0.000)
La (0.723, 0.000, 0.723)
La (0.723, 0.723, 0.000)
La (0.277, 0.000, 0.277)
Al (0.000, 0.500, 0.000)
La (0.500, 0.250, 0.750)
La (0.250, 0.750, 0.500)
O (0.000, 0.500, 0.500)
La (0.000, 0.723, 0.723)
Al (0.500, 0.000, 0.000)
O (0.500, 0.000, 0.500)
Al (0.500, 0.500, 0.500)
La (0.750, 0.250, 0.500)
La (0.250, 0.500, 0.750)
La (0.750, 0.500, 0.250)
O (0.500, 0.500, 0.000)
La (0.000, 0.277, 0.277)

---

## AcLaAlPd (PBE)

Data for an optimized crystal structure of AcLaAlPd.

Results
Formation energy from the elements: -0.43 eV per atom

Lattice parameters (Å, degrees): 5.420 5.420 5.420 60.00 60.00 60.00
Fractional positions:
Pd (0.000, 0.000, 0.000)
La (0.750, 0.750, 0.750)
Ac (0.250, 0.250, 0.250)
Al (0.500, 0.500, 0.500)

---

## AcLaPmAl (PBE)

Data for an optimized crystal structure of AcLaPmAl.

Results
Formation energy from the elements: 0.03 eV per atom

Lattice parameters (Å, degrees): 5.660 5.660 5.660 60.00 60.00 60.00
Fractional positions:
Ac (0.250, 0.250, 0.250)
Pm (0.000, 0.000, 0.000)
Al (0.750, 0.750, 0.750)
La (0.500, 0.500, 0.500)

---

## AcLaAlRh (PBE)

Data for an optimized crystal structure of AcLaAlRh.

Results
Formation energy from the elements: -0.35 eV per atom

Lattice parameters (Å, degrees): 5.336 5.336 5.336 60.00 60.00 60.00
Fractional positions:
Al (0.000, 0.000, 0.000)
La (0.750, 0.750, 0.750)
Ac (0.250, 0.250, 0.250)
Rh (0.500, 0.500, 0.500)

---

no.,calculated density (Mg/m³)
1,6.02
2,7.37
3,6.97
4,7.66